Record 1
Below is crystalline Dy2Y3Tm9 at its relaxed geometry, with properties calculated at the PBE level.

CIF file:
```
data_Dy2Y3Tm9
_chemical_formula_sum 'Dy2 Y3 Tm9'
_symmetry_space_group_name_H-M 'P 1'
_symmetry_Int_Tables_number 1
_symmetry_space_group_name_Hall 'P 1'
_cell_length_a 6.3695
_cell_length_b 10.1228
_cell_length_c 14.0871
_cell_angle_alpha 35.55
_cell_angle_beta 56.01
_cell_angle_gamma 59.15
loop_
_atom_site_label
_atom_site_type_symbol
_atom_site_fract_x
_atom_site_fract_y
_atom_site_fract_z
Dy1 Dy 0.2935 0.4189 0.6883
Dy2 Dy 0.6204 0.5703 0.3402
Y1 Y 0.0453 0.9175 0.0446
Y2 Y 0.5066 0.4113 0.2506
Y3 Y 0.5212 0.5860 0.7400
Tm1 Tm 0.9902 0.5095 0.4874
Tm2 Tm 0.4295 0.0189 0.6890
Tm3 Tm 0.5809 0.9915 0.2987
Tm4 Tm 0.7245 0.9517 0.8873
Tm5 Tm 0.2769 0.0800 0.0981
Tm6 Tm 0.9514 0.9290 0.4470
Tm7 Tm 0.0647 0.0876 0.5358
Tm8 Tm 0.8521 0.5489 0.8958
Tm9 Tm 0.1429 0.4787 0.0972
```

**Crystal system**: triclinic
**Space-group type**: P1 (1)
**D(E_F)**: 25.4 states/eV/cell

---

Record 2
Below is crystalline Cd3PtAu2 at its relaxed geometry, with properties calculated at the PBE level.

CIF file:
```
data_Cd3PtAu2
_chemical_formula_sum 'Cd3 Pt1 Au2'
_symmetry_space_group_name_H-M 'P 1'
_symmetry_Int_Tables_number 1
_symmetry_space_group_name_Hall 'P 1'
_cell_length_a 3.1116
_cell_length_b 3.1116
_cell_length_c 11.6385
_cell_angle_alpha 90.00
_cell_angle_beta 90.00
_cell_angle_gamma 90.00
loop_
_atom_site_label
_atom_site_type_symbol
_atom_site_fract_x
_atom_site_fract_y
_atom_site_fract_z
Cd1 Cd 0.0000 0.0000 0.0000
Cd2 Cd 0.0000 0.0000 0.6577
Cd3 Cd 0.0000 0.0000 0.3423
Pt1 Pt 0.5000 0.5000 0.5000
Au1 Au 0.5000 0.5000 0.8300
Au2 Au 0.5000 0.5000 0.1700
```

**Crystal system**: tetragonal
**Space-group type**: P4/mmm (123)
**D(E_F)**: 1.7 states/eV/cell

---

Record 3
Below is crystalline Pm4NdSn4 at its relaxed geometry, with properties calculated at the PBE level.

CIF file:
```
data_Pm4NdSn4
_chemical_formula_sum 'Pm8 Nd2 Sn8'
_symmetry_space_group_name_H-M 'P 1'
_symmetry_Int_Tables_number 1
_symmetry_space_group_name_Hall 'P 1'
_cell_length_a 6.3351
_cell_length_b 9.9114
_cell_length_c 9.9114
_cell_angle_alpha 90.00
_cell_angle_beta 90.00
_cell_angle_gamma 90.00
loop_
_atom_site_label
_atom_site_type_symbol
_atom_site_fract_x
_atom_site_fract_y
_atom_site_fract_z
Pm1 Pm 0.3832 0.3269 0.9062
Pm2 Pm 0.8832 0.5938 0.8269
Pm3 Pm 0.3832 0.6731 0.0938
Pm4 Pm 0.1168 0.1731 0.5938
Pm5 Pm 0.6168 0.9062 0.6731
Pm6 Pm 0.1168 0.8269 0.4062
Pm7 Pm 0.8832 0.4062 0.1731
Pm8 Pm 0.6168 0.0938 0.3269
Nd1 Nd 0.0000 0.0000 0.0000
Nd2 Nd 0.5000 0.5000 0.5000
Sn1 Sn 0.6152 0.7774 0.3735
Sn2 Sn 0.6152 0.2226 0.6265
Sn3 Sn 0.1152 0.8735 0.7226
Sn4 Sn 0.8848 0.2774 0.8735
Sn5 Sn 0.8848 0.7226 0.1265
Sn6 Sn 0.3848 0.3735 0.2226
Sn7 Sn 0.3848 0.6265 0.7774
Sn8 Sn 0.1152 0.1265 0.2774
```

**Crystal system**: tetragonal
**Space-group type**: P4_2/n (86)
**D(E_F)**: 22.1 states/eV/cell

---

In meV/atom, the formation enthalpy at 0 K values for the records above are, in order, 88, -213, -463.